[1]
Crystalline ZrHg3Te at its relaxed geometry. Source: Alexandria via LeMat-Bulk, functional GGA-PBE.

Output
The space group is Pm-3m (221). The value obtained for the total energy is -1.96 eV per atom. The calculation puts the density of states at the Fermi level at 0.662 states/eV/atom. The value obtained for the uncorrected formation energy is 12.80 kcal/mol of atoms. The crystal system is cubic.

Lattice parameters (Å, degrees): 5.598 5.598 5.598 90.00 90.00 90.00
Positions (direct):
Zr  0.000  0.000  0.000
Hg  0.000  0.000  0.500
Hg  0.000  0.500  0.000
Hg  0.500  0.000  0.000
Te  0.500  0.500  0.500

=====

[2]
Crystalline Zr2Ag at its relaxed geometry. Source: Alexandria via LeMat-Bulk, functional GGA-PBE.

Output
The space group is Fmmm (69). The value obtained for the total energy is -6.75 eV per atom. The calculation puts the density of states at the Fermi level at 0.540 states/eV/atom. The crystal system is orthorhombic. Its formation energy is -102 meV per atom.

Lattice parameters (Å, degrees): 6.542 6.540 3.247 75.66 75.60 28.75
Positions (direct):
Zr  0.164  0.164  0.836
Zr  0.836  0.836  0.164
Ag  0.500  0.500  0.500

=====

[3]
Crystalline MnNbSn at its relaxed geometry. Source: Alexandria via LeMat-Bulk, functional GGA-PBE.

Output
The space group is I4/mmm (139). The value obtained for the total energy is -7.72 eV per atom. The calculation puts the density of states at the Fermi level at 0.751 states/eV/atom. The crystal system is tetragonal. Its formation energy is 23 meV per atom.

Lattice parameters (Å, degrees): 11.037 11.037 11.037 163.17 163.17 23.89
Positions (direct):
Mn  0.218  0.218  0.000
Mn  0.782  0.782  0.000
Nb  0.342  0.342  0.000
Nb  0.658  0.658  0.000
Sn  0.067  0.067  0.000
Sn  0.933  0.933  0.000

=====

[4]
Crystalline LiZn2Br at its relaxed geometry. Source: Alexandria via LeMat-Bulk, functional GGA-PBE.

Output
The space group is Cmmm (65). The value obtained for the total energy is -1.98 eV per atom. The calculation puts the density of states at the Fermi level at 0.162 states/eV/atom. The value obtained for the uncorrected formation energy is -10.18 kcal/mol of atoms. The crystal system is orthorhombic.

Lattice parameters (Å, degrees): 3.683 3.683 6.735 90.00 90.00 90.88
Positions (direct):
Li  0.000  0.000  0.000
Zn  0.252  0.252  0.500
Zn  0.748  0.748  0.500
Br  0.500  0.500  0.000

=====

[5]
Crystalline TbTmHgTe at its relaxed geometry. Source: Alexandria via LeMat-Bulk, functional GGA-PBE.

Output
The space group is R3m (160). The value obtained for the total energy is -3.97 eV per atom. The calculation puts the density of states at the Fermi level at 0.486 states/eV/atom. The value obtained for the uncorrected formation energy is -19.33 kcal/mol of atoms. The crystal system is trigonal.

Lattice parameters (Å, degrees): 8.140 8.140 8.140 29.31 29.31 29.31
Positions (direct):
Tb  0.000  0.000  0.000
Tm  0.498  0.498  0.498
Hg  0.750  0.750  0.750
Te  0.247  0.247  0.247

=====

[6]
Crystalline Dy3CO6 at its relaxed geometry. Source: Alexandria via LeMat-Bulk, functional GGA-PBE.

Output
The space group is Cmc2_1 (36). The value obtained for the total energy is -8.04 eV per atom. The value obtained for the uncorrected formation energy is -63.59 kcal/mol of atoms. The crystal system is orthorhombic.

Lattice parameters (Å, degrees): 6.948 6.948 5.752 90.00 90.00 102.55
Positions (direct):
Dy  0.099  0.901  0.500
Dy  0.190  0.413  0.469
Dy  0.413  0.190  0.969
Dy  0.587  0.810  0.469
Dy  0.810  0.587  0.969
Dy  0.901  0.099  0.000
C  0.319  0.681  0.854
C  0.681  0.319  0.354
O  0.120  0.612  0.801
O  0.153  0.172  0.736
O  0.172  0.153  0.236
O  0.283  0.717  0.352
O  0.388  0.880  0.801
O  0.440  0.560  0.764
O  0.560  0.440  0.264
O  0.612  0.120  0.301
O  0.717  0.283  0.852
O  0.828  0.847  0.736
O  0.847  0.828  0.236
O  0.880  0.388  0.301

=====

Repeat the sixth record exactly.
Crystalline Dy3CO6 at its relaxed geometry. Source: Alexandria via LeMat-Bulk, functional GGA-PBE.

Output
The space group is Cmc2_1 (36). The value obtained for the total energy is -8.04 eV per atom. The value obtained for the uncorrected formation energy is -63.59 kcal/mol of atoms. The crystal system is orthorhombic.

Lattice parameters (Å, degrees): 6.948 6.948 5.752 90.00 90.00 102.55
Positions (direct):
Dy  0.099  0.901  0.500
Dy  0.190  0.413  0.469
Dy  0.413  0.190  0.969
Dy  0.587  0.810  0.469
Dy  0.810  0.587  0.969
Dy  0.901  0.099  0.000
C  0.319  0.681  0.854
C  0.681  0.319  0.354
O  0.120  0.612  0.801
O  0.153  0.172  0.736
O  0.172  0.153  0.236
O  0.283  0.717  0.352
O  0.388  0.880  0.801
O  0.440  0.560  0.764
O  0.560  0.440  0.264
O  0.612  0.120  0.301
O  0.717  0.283  0.852
O  0.828  0.847  0.736
O  0.847  0.828  0.236
O  0.880  0.388  0.301